[1]
DFT (PBE) results for a relaxed structure of YMg3In3.

Geometry as extended XYZ:
```
14
Lattice="7.731 0.000 0.000 0.000 7.731 0.000 0.000 0.000 7.731" Properties=species:S:1:pos:R:3 pbc="T T T"
Y 0.000 0.000 0.000
Y 3.866 3.866 3.866
Mg 0.000 1.933 3.866
Mg 0.000 5.799 3.866
Mg 1.933 3.866 0.000
Mg 3.866 0.000 1.933
Mg 3.866 0.000 5.799
Mg 5.799 3.866 0.000
In 0.000 3.866 1.933
In 0.000 3.866 5.799
In 1.933 0.000 3.866
In 3.866 1.933 0.000
In 3.866 5.799 0.000
In 5.799 0.000 3.866
```

Total magnetization   0.000 μB/cell
Energy   -16.0 eV/f.u.
Calculated formation energy   3.5 eV per formula unit

---

[2]
DFT (PBE) results for a relaxed structure of NbFeNi2Hg.

Geometry as extended XYZ:
```
5
Lattice="4.562 0.000 0.000 0.000 4.562 0.000 0.000 0.000 4.680" Properties=species:S:1:pos:R:3 pbc="T T T"
Nb 0.000 0.000 0.000
Fe 2.281 2.281 0.000
Ni 0.000 2.281 2.340
Ni 2.281 0.000 2.340
Hg 2.281 2.281 2.340
```

Total magnetization   1.235 μB/cell
Energy   -21.3 eV/f.u.
Calculated formation energy   9.1 eV per formula unit

---

[3]
DFT (PBE) results for a relaxed structure of Pa4Bi5.

Geometry as extended XYZ:
```
9
Lattice="-4.894 4.894 3.128 4.894 -4.894 3.128 4.894 4.894 -3.128" Properties=species:S:1:pos:R:3 pbc="T T T"
Pa 3.017 0.883 0.000
Pa 4.011 -1.877 3.128
Pa 0.883 6.771 0.000
Pa 1.877 4.011 3.128
Bi 0.000 0.000 0.000
Bi 5.859 2.239 0.000
Bi 2.239 3.929 0.000
Bi 2.655 0.965 3.128
Bi -0.965 2.655 3.128
```

Total magnetization   2.697 μB/cell
Energy   -57.4 eV/f.u.
Calculated formation energy   0.0 eV per formula unit

---

[4]
DFT (PBE) results for a relaxed structure of Zn2InAu.

Geometry as extended XYZ:
```
4
Lattice="3.527 0.000 0.000 0.000 4.350 0.000 -1.200 0.000 5.002" Properties=species:S:1:pos:R:3 pbc="T T T"
Zn 0.000 0.000 0.000
Zn 0.564 2.175 4.269
In 1.758 0.000 2.410
Au 0.105 2.175 1.501
```

Total magnetization   0.000 μB/cell
Energy   -8.8 eV/f.u.
Calculated formation energy   -0.2 eV per formula unit

---

[5]
DFT (PBE) results for a relaxed structure of Er4TePt.

Geometry as extended XYZ:
```
12
Lattice="9.572 -2.701 0.000 9.572 2.701 0.000 -3.901 0.000 8.619" Properties=species:S:1:pos:R:3 pbc="T T T"
Er -0.258 0.000 1.773
Er 0.418 0.000 7.711
Er 3.595 0.000 2.752
Er 3.784 0.000 8.588
Er 11.459 0.000 0.032
Er 11.648 0.000 5.868
Er 14.825 0.000 0.909
Er 15.501 0.000 6.846
Te 1.088 0.000 4.636
Te 14.155 0.000 3.983
Pt 2.035 0.000 0.451
Pt 13.208 0.000 8.168
```

Total magnetization   0.000 μB/cell
Energy   -31.0 eV/f.u.
Formation energy from raw total energies   -13.90 kcal/mol of atoms

---

[6]
DFT (PBE) results for a relaxed structure of HfBiPd6.

Geometry as extended XYZ:
```
8
Lattice="5.216 0.000 0.000 -0.441 5.198 0.000 -0.443 -0.478 5.187" Properties=species:S:1:pos:R:3 pbc="T T T"
Hf 0.000 0.000 0.000
Bi 2.166 2.360 2.593
Pd -0.323 3.703 2.325
Pd 0.617 2.402 4.977
Pd 1.999 -0.161 3.909
Pd 2.333 4.882 1.278
Pd 3.715 2.319 0.209
Pd 4.656 1.017 2.861
```

Total magnetization   0.000 μB/cell
Energy   -48.4 eV/f.u.
Calculated formation energy   -3.4 eV per formula unit

---

[7]
DFT (PBE) results for a relaxed structure of In3ReIr.

Geometry as extended XYZ:
```
5
Lattice="5.118 0.000 0.000 0.000 5.118 0.000 0.000 0.000 5.118" Properties=species:S:1:pos:R:3 pbc="T T T"
In 0.000 0.000 2.559
In 0.000 2.559 0.000
In 2.559 0.000 0.000
Re 2.559 2.559 2.559
Ir 0.000 0.000 0.000
```

Total magnetization   4.162 μB/cell
Energy   -24.1 eV/f.u.
Calculated formation energy   5.4 eV per formula unit

---

[8]
DFT (PBE) results for a relaxed structure of Mg7Be.

Geometry as extended XYZ:
```
8
Lattice="0.000 4.379 4.379 4.379 0.000 4.379 4.379 4.379 0.000" Properties=species:S:1:pos:R:3 pbc="T T T"
Mg 0.000 0.000 0.000
Mg 2.189 2.189 0.000
Mg 2.189 0.000 2.189
Mg 4.379 2.189 2.189
Mg 0.000 2.189 2.189
Mg 2.189 4.379 2.189
Mg 2.189 2.189 4.379
Be 4.379 4.379 4.379
```

Total magnetization   0.000 μB/cell
Energy   -13.5 eV/f.u.
Calculated formation energy   1.4 eV per formula unit

---

Which value of energy does entry 6 give?
-48.4 eV/f.u.